[1]
The following is a PBE-GGA calculation of a relaxed Pr6SnAu2 crystal, from Alexandria via LeMat-Bulk.

a = 9.0778 Å, b = 9.0778 Å, c = 9.0778 Å
α = 116.71°, β = 110.48°, γ = 101.57°
With the nearest neighbours (Å) after each atom.
Fractional coordinates of all 18 atoms:
Pr1 0.0383 0.2321 0.8062  1 Au 3.10, 1 Sn 3.34
Pr2 0.1887 0.2906 0.4793  3 Au 3.15-3.22, 1 Sn 3.39
Pr3 0.1887 0.7094 0.8980  3 Au 3.15-3.22, 1 Sn 3.39
Pr4 0.3274 0.0291 0.7018  3 Au 2.99-3.18
Pr5 0.3274 0.6256 0.2982  3 Au 2.99-3.18
Pr6 0.4259 0.2321 0.1938  1 Au 3.10, 1 Sn 3.34
Pr7 0.5741 0.7679 0.8062  1 Au 3.10, 1 Sn 3.34
Pr8 0.6726 0.3744 0.7018  3 Au 2.99-3.18
Pr9 0.6726 0.9709 0.2982  3 Au 2.99-3.18
Pr10 0.8113 0.2906 0.1020  3 Au 3.15-3.22, 1 Sn 3.39
Pr11 0.8113 0.7094 0.5207  3 Au 3.15-3.22, 1 Sn 3.39
Pr12 0.9617 0.7679 0.1938  1 Au 3.10, 1 Sn 3.34
Sn1 0.0000 0.0000 0.0000  8 Pr 3.34-3.39, 2 Au 3.60
Sn2 0.5000 0.5000 0.0000  12 Pr 3.46-3.79
Au1 0.1275 0.6275 0.5000  1 Au 2.93, 6 Pr 2.99-3.15
Au2 0.3475 0.0000 0.3475  8 Pr 3.10-3.22, 1 Au 3.16
Au3 0.6525 0.0000 0.6525  8 Pr 3.10-3.22, 1 Au 3.16
Au4 0.8725 0.3725 0.5000  1 Au 2.93, 6 Pr 2.99-3.15

Properties
SG: Immm, No. 71
Formation enthalpy at 0 K: -0.491 eV/atom

[2]
The following is a PBE-GGA calculation of a relaxed PmYHgRh crystal, from Alexandria via LeMat-Bulk.

a = 5.1249 Å, b = 5.1249 Å, c = 5.1249 Å
α = 60.00°, β = 60.00°, γ = 60.00°
With the nearest neighbours (Å) after each atom.
Fractional coordinates of all 4 atoms:
Pm1 0.0000 0.0000 0.0000  4 Hg 3.14, 4 Rh 3.14
Y1 0.5000 0.5000 0.5000  4 Hg 3.14, 4 Rh 3.14
Hg1 0.7500 0.7500 0.7500  4 Pm 3.14, 4 Y 3.14
Rh1 0.2500 0.2500 0.2500  4 Pm 3.14, 4 Y 3.14

Properties
SG: F-43m, No. 216
Formation enthalpy at 0 K: -0.571 eV/atom

[3]
The following is a PBE-GGA calculation of a relaxed ZnAu3I crystal, from Alexandria via LeMat-Bulk.

a = 4.9720 Å, b = 4.9720 Å, c = 4.9720 Å
α = 90.00°, β = 90.00°, γ = 90.00°
With the nearest neighbours (Å) after each atom.
Fractional coordinates of all 5 atoms:
Zn1 0.0000 0.0000 0.0000  6 Au 2.49
Au1 0.0000 0.0000 0.5000  2 Zn 2.49
Au2 0.0000 0.5000 0.0000  2 Zn 2.49
Au3 0.5000 0.0000 0.0000  2 Zn 2.49
I1 0.5000 0.5000 0.5000  12 Au 3.52

Properties
SG: Pm-3m, No. 221
E_form (uncorrected): 0.48 eV per atom

[4]
The following is a PBE-GGA calculation of a relaxed Pb3Au5 crystal, from Alexandria via LeMat-Bulk.

a = 8.8886 Å, b = 8.8886 Å, c = 7.3356 Å
α = 99.72°, β = 99.72°, γ = 132.93°
With the nearest neighbours (Å) after each atom.
Fractional coordinates of all 16 atoms:
Pb1 0.0000 0.0000 0.0000  6 Au 2.84-3.15
Pb2 0.2675 0.8154 0.1508  5 Au 2.89-3.09
Pb3 0.2726 0.9064 0.6867  6 Au 2.92-3.21
Pb4 0.7938 0.7938 0.3473  7 Au 3.04-3.29
Pb5 0.8154 0.2675 0.1508  5 Au 2.89-3.09
Pb6 0.9064 0.2726 0.6867  6 Au 2.92-3.21
Au1 0.1442 0.3233 0.4169  5 Au 2.86-2.93, 3 Pb 2.89-3.15
Au2 0.2579 0.2579 0.7606  5 Au 2.83-2.93, 1 Pb 3.03
Au3 0.2898 0.4904 0.1068  4 Au 2.83-2.93, 3 Pb 3.00-3.12
Au4 0.3233 0.1442 0.4169  5 Au 2.86-2.93, 3 Pb 2.89-3.15
Au5 0.4791 0.7984 0.5074  4 Au 2.86-2.90, 3 Pb 2.92-3.04
Au6 0.4904 0.2898 0.1068  4 Au 2.83-2.93, 3 Pb 3.00-3.12
Au7 0.4972 0.7809 0.9013  3 Au 2.85-2.90, 2 Pb 2.99-3.09
Au8 0.6123 0.6123 0.6553  2 Pb 2.84-3.04, 7 Au 2.86-2.93
Au9 0.7809 0.4972 0.9013  3 Au 2.85-2.90, 2 Pb 2.99-3.09
Au10 0.7984 0.4791 0.5074  4 Au 2.86-2.90, 3 Pb 2.92-3.04

Properties
SG: Cm, No. 8
Formation enthalpy at 0 K: -0.024 eV/atom

[5]
The following is a PBE-GGA calculation of a relaxed KNiAu3 crystal, from Alexandria via LeMat-Bulk.

a = 4.9427 Å, b = 4.9427 Å, c = 4.9427 Å
α = 90.00°, β = 90.00°, γ = 90.00°
With the nearest neighbours (Å) after each atom.
Fractional coordinates of all 5 atoms:
K1 0.0000 0.0000 0.0000  12 Au 3.50
Ni1 0.5000 0.5000 0.5000  6 Au 2.47
Au1 0.0000 0.5000 0.5000  2 Ni 2.47
Au2 0.5000 0.0000 0.5000  2 Ni 2.47
Au3 0.5000 0.5000 0.0000  2 Ni 2.47

Properties
SG: Pm-3m, No. 221
Formation enthalpy at 0 K: 0.157 eV/atom

[6]
The following is a PBE-GGA calculation of a relaxed Sm6ErTl2 crystal, from Alexandria via LeMat-Bulk.

a = 6.7865 Å, b = 6.7865 Å, c = 12.0616 Å
α = 107.24°, β = 107.24°, γ = 32.49°
With the nearest neighbours (Å) after each atom.
Fractional coordinates of all 9 atoms:
Sm1 0.0157 0.0157 0.3437  2 Tl 3.30, 7 Sm 3.60-3.68
Sm2 0.3069 0.3069 0.4101  2 Tl 3.40, 10 Sm 3.50-3.80
Sm3 0.3168 0.3168 0.1234  2 Tl 3.35, 5 Sm 3.50-3.62, 2 Er 3.70
Sm4 0.6832 0.6832 0.8766  2 Tl 3.35, 5 Sm 3.50-3.62, 2 Er 3.70
Sm5 0.6931 0.6931 0.5899  2 Tl 3.40, 10 Sm 3.50-3.80
Sm6 0.9843 0.9843 0.6563  2 Tl 3.30, 7 Sm 3.60-3.68
Er1 0.0000 0.0000 0.0000  4 Tl 3.14
Tl1 0.3633 0.3633 0.8026  2 Er 3.14, 6 Sm 3.30-3.40
Tl2 0.6367 0.6367 0.1974  2 Er 3.14, 6 Sm 3.30-3.40

Properties
SG: C2/m, No. 12
Formation enthalpy at 0 K: -0.148 eV/atom

[7]
The following is a PBE-GGA calculation of a relaxed Tl2InTeAu crystal, from Alexandria via LeMat-Bulk.

a = 5.5858 Å, b = 5.5858 Å, c = 5.3351 Å
α = 90.00°, β = 90.00°, γ = 90.00°
With the nearest neighbours (Å) after each atom.
Fractional coordinates of all 5 atoms:
Tl1 0.0000 0.5000 0.0000  2 Au 2.79
Tl2 0.5000 0.0000 0.0000  2 Au 2.79
In1 0.0000 0.0000 0.5000  2 Au 2.67
Te1 0.5000 0.5000 0.5000  8 Tl 3.86, 4 In 3.95
Au1 0.0000 0.0000 0.0000  2 In 2.67, 4 Tl 2.79

Properties
SG: P4/mmm, No. 123
E_form (uncorrected): -0.06 eV per atom

[8]
The following is a PBE-GGA calculation of a relaxed Hf2ZrNi9 crystal, from Alexandria via LeMat-Bulk.

a = 3.7385 Å, b = 3.7385 Å, c = 11.2183 Å
α = 90.00°, β = 90.00°, γ = 90.00°
With the nearest neighbours (Å) after each atom.
Fractional coordinates of all 12 atoms:
Hf1 0.0000 0.0000 0.1659  12 Ni 2.64
Hf2 0.0000 0.0000 0.8341  12 Ni 2.64
Zr1 0.0000 0.0000 0.5000  12 Ni 2.64-2.66
Ni1 0.0000 0.5000 0.0000  4 Hf 2.64, 8 Ni 2.64
Ni2 0.0000 0.5000 0.3317  8 Ni 2.64-2.66, 2 Hf 2.64, 2 Zr 2.66
Ni3 0.0000 0.5000 0.6683  8 Ni 2.64-2.66, 2 Hf 2.64, 2 Zr 2.66
Ni4 0.5000 0.0000 0.0000  4 Hf 2.64, 8 Ni 2.64
Ni5 0.5000 0.0000 0.3317  8 Ni 2.64-2.66, 2 Hf 2.64, 2 Zr 2.66
Ni6 0.5000 0.0000 0.6683  8 Ni 2.64-2.66, 2 Hf 2.64, 2 Zr 2.66
Ni7 0.5000 0.5000 0.1661  8 Ni 2.64, 4 Hf 2.64
Ni8 0.5000 0.5000 0.5000  4 Zr 2.64, 8 Ni 2.66
Ni9 0.5000 0.5000 0.8339  8 Ni 2.64, 4 Hf 2.64

Properties
SG: P4/mmm, No. 123
Formation enthalpy at 0 K: -0.473 eV/atom

[9]
The following is a PBE-GGA calculation of a relaxed BeNbTe3 crystal, from Alexandria via LeMat-Bulk.

a = 4.8894 Å, b = 4.8894 Å, c = 4.8894 Å
α = 90.00°, β = 90.00°, γ = 90.00°
With the nearest neighbours (Å) after each atom.
Fractional coordinates of all 5 atoms:
Be1 0.0000 0.0000 0.0000  6 Te 2.44
Nb1 0.5000 0.5000 0.5000  12 Te 3.46
Te1 0.0000 0.0000 0.5000  2 Be 2.44
Te2 0.0000 0.5000 0.0000  2 Be 2.44
Te3 0.5000 0.0000 0.0000  2 Be 2.44

Properties
SG: Pm-3m, No. 221
E_form (uncorrected): 0.75 eV per atom

[10]
The following is a PBE-GGA calculation of a relaxed Tl6Cd5Hg crystal, from Alexandria via LeMat-Bulk.

a = 8.7733 Å, b = 8.7733 Å, c = 10.7014 Å
α = 90.00°, β = 90.00°, γ = 120.00°
With the nearest neighbours (Å) after each atom.
Fractional coordinates of all 24 atoms:
Tl1 0.0000 0.3179 0.0913  5 Cd 3.15-3.47, 1 Hg 3.27, 3 Tl 3.40
Tl2 0.0000 0.3179 0.4087  5 Cd 3.15-3.47, 1 Hg 3.27, 3 Tl 3.40
Tl3 0.0000 0.6821 0.5913  5 Cd 3.15-3.47, 1 Hg 3.27, 3 Tl 3.40
Tl4 0.0000 0.6821 0.9087  5 Cd 3.15-3.47, 1 Hg 3.27, 3 Tl 3.40
Tl5 0.3179 0.0000 0.0913  5 Cd 3.15-3.47, 1 Hg 3.27, 3 Tl 3.40
Tl6 0.3179 0.0000 0.4087  5 Cd 3.15-3.47, 1 Hg 3.27, 3 Tl 3.40
Tl7 0.3179 0.3179 0.5913  5 Cd 3.15-3.47, 1 Hg 3.27, 3 Tl 3.40
Tl8 0.3179 0.3179 0.9087  5 Cd 3.15-3.47, 1 Hg 3.27, 3 Tl 3.40
Tl9 0.6821 0.0000 0.5913  5 Cd 3.15-3.47, 1 Hg 3.27, 3 Tl 3.40
Tl10 0.6821 0.0000 0.9087  5 Cd 3.15-3.47, 1 Hg 3.27, 3 Tl 3.40
Tl11 0.6821 0.6821 0.0913  5 Cd 3.15-3.47, 1 Hg 3.27, 3 Tl 3.40
Tl12 0.6821 0.6821 0.4087  5 Cd 3.15-3.47, 1 Hg 3.27, 3 Tl 3.40
Cd1 0.0000 0.3656 0.7500  1 Hg 3.21, 6 Tl 3.26-3.47
Cd2 0.0000 0.6344 0.2500  1 Hg 3.21, 6 Tl 3.26-3.47
Cd3 0.3333 0.6667 0.0000  6 Tl 3.15
Cd4 0.3333 0.6667 0.5000  6 Tl 3.15
Cd5 0.3656 0.0000 0.7500  1 Hg 3.21, 6 Tl 3.26-3.47
Cd6 0.3656 0.3656 0.2500  1 Hg 3.21, 6 Tl 3.26-3.47
Cd7 0.6344 0.0000 0.2500  1 Hg 3.21, 6 Tl 3.26-3.47
Cd8 0.6344 0.6344 0.7500  1 Hg 3.21, 6 Tl 3.26-3.47
Cd9 0.6667 0.3333 0.0000  6 Tl 3.15
Cd10 0.6667 0.3333 0.5000  6 Tl 3.15
Hg1 0.0000 0.0000 0.2500  3 Cd 3.21, 6 Tl 3.27
Hg2 0.0000 0.0000 0.7500  3 Cd 3.21, 6 Tl 3.27

Properties
SG: P6_3/mcm, No. 193
Formation enthalpy at 0 K: 0.110 eV/atom

[11]
The following is a PBE-GGA calculation of a relaxed Ca2AcGa2Rh crystal, from Alexandria via LeMat-Bulk.

a = 6.9409 Å, b = 6.9409 Å, c = 6.9409 Å
α = 131.84°, β = 131.84°, γ = 70.49°
With the nearest neighbours (Å) after each atom.
Fractional coordinates of all 6 atoms:
Ca1 0.2500 0.7500 0.5000  4 Ga 2.87
Ca2 0.7500 0.2500 0.5000  4 Ga 2.87
Ac1 0.0000 0.0000 0.0000  2 Ga 3.32
Ga1 0.2926 0.2926 0.0000  1 Rh 2.35
Ga2 0.7074 0.7074 0.0000  1 Rh 2.35
Rh1 0.5000 0.5000 0.0000  2 Ga 2.35

Properties
SG: I4/mmm, No. 139
Formation enthalpy at 0 K: -0.065 eV/atom

Calculated magnetic moment (μB/atom), listed in the same order as above: 0.00, 0.00, 0.00, 0.00, 0.00, 0.00, 0.00, 0.00, 0.00, 0.00, 0.00
Calculated calculated volume (Å³ per atom), listed in the same order as above: 31.4, 23.8, 24.6, 24.0, 24.2, 31.5, 33.3, 13.1, 23.4, 29.7, 30.3